1.
Density functional theory data (PBE) for a relaxed structure of CaNd2TmS4.

abc: 6.883 3.963 7.004
angles: 90.00 108.93 90.00
Space group P2/m (No. 10)
One atom of each set of equivalent atoms:
Ca1 0.000 0.000 0.000
Nd1 0.000 0.500 0.500
Nd2 0.500 0.000 0.500
Tm1 0.500 0.500 0.000
S1 0.251 0.500 0.236
S2 0.260 0.000 0.768

Properties
Energy ... -6.0843 eV/atom
ΔE_f (raw) ... -2019 meV per atom
V ... 181 Å³/f.u.
DOS(E_F) ... 3.10 states/eV/cell

=====

2.
Density functional theory data (PBE) for a relaxed structure of BaLi2Ag.

abc: 3.688 3.688 7.755
angles: 90.00 90.00 90.00
Space group P4/mmm (No. 123)
One atom of each set of equivalent atoms:
Ba1 0.000 0.000 0.000
Li1 0.500 0.500 0.335
Ag1 0.000 0.000 0.500

Properties
E above lowest polymorph ... 140.2 meV per atom
Energy ... -2.1449 eV/atom
Formation energy ... 0.005 eV per atom
V ... 105 Å³/f.u.
DOS(E_F) ... 3.45 states/eV/cell

=====

3.
Density functional theory data (PBE) for a relaxed structure of Na3ScU3S8.

abc: 7.8270 7.8270 20.3458
angles: 90.00 90.00 120.00
Space group R-3m (No. 166, hexagonal axes)
One atom of each set of equivalent atoms:
Na1 0.0000 0.5000 0.0000
Sc1 0.0000 0.0000 0.5000
U1 0.0000 0.5000 0.5000
S1 0.0000 0.0000 0.2442
S2 0.0115 0.5058 0.2391

Properties
Energy ... -6.6065 eV/atom
ΔE_f (raw) ... -1462 meV per atom
V ... 360 Å³/f.u.
DOS(E_F) ... 36.88 states/eV/cell

=====

4.
Density functional theory data (PBE) for a relaxed structure of Al2TeMo.

abc: 3.0548 3.0548 28.5289
angles: 90.00 90.00 120.00
Space group R-3m (No. 166, hexagonal axes)
One atom of each set of equivalent atoms:
Al1 0.0000 0.0000 0.2374
Te1 0.0000 0.0000 0.0000
Mo1 0.0000 0.0000 0.5000

Properties
Energy ... -5.1417 eV/atom
ΔE_f (raw) ... 223 meV per atom
V ... 77 Å³/f.u.
DOS(E_F) ... 8.82 states/eV/cell

=====

5.
Density functional theory data (PBE) for a relaxed structure of Na2RuPbS.

abc: 5.404 5.404 4.314
angles: 90.00 90.00 90.00
Space group P4/mmm (No. 123)
One atom of each set of equivalent atoms:
Na1 0.000 0.500 0.000
Ru1 0.000 0.000 0.000
Pb1 0.500 0.500 0.500
S1 0.000 0.000 0.500

Properties
Energy ... -3.7113 eV/atom
ΔE_f (raw) ... 239 meV per atom
V ... 126 Å³/f.u.
DOS(E_F) ... 2.30 states/eV/cell

=====

6.
Density functional theory data (PBE) for a relaxed structure of LiMg5Sn6.

abc: 4.626 14.503 8.431
angles: 90.00 90.05 90.00
Space group C2/m (No. 12)
One atom of each set of equivalent atoms:
Li1 0.000 0.000 0.000
Mg1 0.000 0.000 0.500
Mg2 0.000 0.333 0.500
Mg3 0.000 0.335 0.000
Sn1 0.000 0.165 0.248
Sn2 0.000 0.500 0.248

Properties
E above lowest polymorph ... 7.4 meV per atom
Energy ... -2.9790 eV/atom
Formation energy ... -0.154 eV per atom
V ... 283 Å³/f.u.
DOS(E_F) ... 11.39 states/eV/cell

=====

7.
Density functional theory data (PBE) for a relaxed structure of LaDy8Cd6.

abc: 9.0532 9.0532 19.0970
angles: 90.00 90.00 120.00
Space group R-3 (No. 148, hexagonal axes)
One atom of each set of equivalent atoms:
La1 0.0000 0.0000 0.0000
Dy1 0.0000 0.0000 0.3319
Dy2 0.0036 0.3294 0.1165
Cd1 0.9998 0.3432 0.9473

Properties
Energy ... -3.2118 eV/atom
Formation energy ... -0.063 eV per atom
V ... 452 Å³/f.u.
DOS(E_F) ... 55.36 states/eV/cell

=====

8.
Density functional theory data (PBE) for a relaxed structure of NdPN2.

abc: 4.400 4.990 6.834
angles: 108.64 107.34 90.52
Space group P1 (No. 1)
One atom of each set of equivalent atoms:
Nd1 0.000 0.000 0.000
Nd2 0.257 0.708 0.492
P1 0.411 0.501 0.972
P2 0.704 0.204 0.514
N1 0.147 0.538 0.095
N2 0.326 0.169 0.393
N3 0.454 0.764 0.889
N4 0.819 0.944 0.601

Properties
E above lowest polymorph ... 59.5 meV per atom
Energy ... -7.5868 eV/atom
ΔE_f (raw) ... -880 meV per atom
V ... 67 Å³/f.u.

=====

9.
Density functional theory data (PBE) for a relaxed structure of K2ZrSi.

abc: 3.947 6.200 12.224
angles: 90.00 90.00 90.00
Space group Imm2 (No. 44)
One atom of each set of equivalent atoms:
K1 0.000 0.000 0.000
K2 0.000 0.500 0.193
Zr1 0.000 0.000 0.371
Si1 0.000 0.500 0.735

Properties
Energy ... -3.5509 eV/atom
ΔE_f (raw) ... 491 meV per atom
V ... 150 Å³/f.u.
DOS(E_F) ... 6.76 states/eV/cell

=====

10.
Density functional theory data (PBE) for a relaxed structure of Li8IrPd2.

abc: 9.785 8.972 4.523
angles: 90.00 103.52 90.00
Space group C2/m (No. 12)
One atom of each set of equivalent atoms:
Li1 0.084 0.000 0.304
Li2 0.112 0.259 0.856
Li3 0.137 0.500 0.535
Ir1 0.000 0.500 0.000
Pd1 0.224 0.000 0.888

Properties
Energy ... -3.2538 eV/atom
Formation energy ... -0.112 eV per atom
V ... 193 Å³/f.u.
DOS(E_F) ... 5.66 states/eV/cell

=====

11.
Density functional theory data (PBE) for a relaxed structure of Rb4Tl5As.

abc: 10.775 10.775 7.601
angles: 90.00 90.00 90.00
Space group I4 (No. 79)
One atom of each set of equivalent atoms:
Rb1 0.059 0.285 0.000
Tl1 0.000 0.000 0.723
Tl2 0.075 0.222 0.488
As1 0.000 0.000 0.296

Properties
Energy ... -2.1971 eV/atom
Formation energy ... -0.162 eV per atom
V ... 441 Å³/f.u.
DOS(E_F) ... 0.22 states/eV/cell

=====

12.
Density functional theory data (PBE) for a relaxed structure of Sm4Bi2Te.

abc: 9.466 9.466 9.563
angles: 90.00 90.00 90.00
Space group I-42d (No. 122)
One atom of each set of equivalent atoms:
Sm1 0.073 0.182 0.301
Bi1 0.122 0.250 0.625
Te1 0.000 0.000 0.000

Properties
Energy ... -5.1830 eV/atom
ΔE_f (raw) ... -929 meV per atom
V ... 214 Å³/f.u.
DOS(E_F) ... 30.86 states/eV/cell